# 1
This record from Alexandria describes an optimized crystal structure of AcNd2ScSe4. The functional is GGA-PBE.

Unit cell a=4.1548 b=7.4346 c=7.2721 alpha=108.60 beta=90.00 gamma=90.00
Positions (direct):
1 Se 0.0000 0.2749 0.7659
2 Se 0.5000 0.7294 0.7507
3 Se 0.0000 0.7251 0.2341
4 Se 0.5000 0.2706 0.2493
5 Sc 0.5000 0.5000 0.0000
6 Nd 0.5000 0.0000 0.5000
7 Nd 0.0000 0.5000 0.5000
8 Ac 0.0000 0.0000 0.0000

Its uncorrected formation energy is -1.720 eV per atom.

***

# 2
This record from Alexandria describes an optimized crystal structure of CrAgRu2. The functional is GGA-PBE.

Unit cell a=2.6535 b=2.6535 c=9.3056 alpha=90.00 beta=90.00 gamma=116.44
Positions (direct):
1 Cr 0.5000 0.5000 0.7683
2 Ru 0.0000 0.0000 0.9881
3 Ru 0.5000 0.5000 0.2361
4 Ag 0.0000 0.0000 0.5075

As for the polymorph energy (0 for the lowest one): 317 meV/atom. The energy relative to the elements comes out at 210 kJ/mol of formula units.

***

# 3
This record from Alexandria describes an optimized crystal structure of LaPrPd4. The functional is GGA-PBE.

Unit cell a=4.3143 b=5.9400 c=10.2663 alpha=90.00 beta=102.13 gamma=90.00
Positions (direct):
1 Pd 0.4276 0.7500 0.8551
2 Pd 0.8547 0.5157 0.7094
3 Pd 0.5724 0.2500 0.1449
4 Pd 0.0000 0.0000 0.0000
5 Pd 0.0000 0.5000 0.0000
6 Pd 0.8547 0.9843 0.7094
7 Pd 0.1453 0.4843 0.2906
8 Pd 0.1453 0.0157 0.2906
9 Pr 0.7236 0.2500 0.4473
10 Pr 0.2764 0.7500 0.5527
11 La 0.4221 0.2500 0.8442
12 La 0.5779 0.7500 0.1558

As for the polymorph energy (0 for the lowest one): 0 meV/atom. The energy relative to the elements comes out at -460 kJ/mol of formula units.

***

# 4
This record from Alexandria describes an optimized crystal structure of Er6ScTl3. The functional is GGA-PBE.

Unit cell a=5.1449 b=9.9311 c=11.3469 alpha=104.20 beta=90.00 gamma=90.00
Positions (direct):
1 Tl 0.2500 0.5328 0.3922
2 Tl 0.7500 0.6162 0.2025
3 Tl 0.2500 0.3838 0.7975
4 Tl 0.7500 0.4672 0.6078
5 Tl 0.7500 0.2115 0.0339
6 Tl 0.2500 0.7885 0.9661
7 Er 0.7500 0.8839 0.8025
8 Er 0.7500 0.1814 0.7025
9 Er 0.2500 0.2547 0.5047
10 Er 0.2500 0.8186 0.2975
11 Er 0.7500 0.7453 0.4953
12 Er 0.7500 0.5610 0.9072
13 Er 0.2500 0.1161 0.1975
14 Er 0.7500 0.3411 0.3165
15 Er 0.2500 0.4390 0.0928
16 Er 0.2500 0.1110 0.8880
17 Er 0.2500 0.6589 0.6835
18 Er 0.7500 0.8890 0.1120
19 Sc 0.7500 0.0397 0.4023
20 Sc 0.2500 0.9603 0.5977

The energy relative to the elements comes out at -177 kJ/mol of formula units.

***

# 5
This record from Alexandria describes an optimized crystal structure of Ag2AsSe3. The functional is GGA-PBE.

Unit cell a=4.5752 b=5.7856 c=7.1387 alpha=113.91 beta=108.69 gamma=90.00
Positions (direct):
1 Se 0.3409 0.3331 0.6817
2 Se 0.6591 0.6513 0.3183
3 Se 0.0000 0.0502 0.0000
4 As 0.5000 0.2496 0.0000
5 Ag 0.1587 0.8881 0.3175
6 Ag 0.8413 0.5706 0.6825

Its uncorrected formation energy is -0.076 eV per atom. As for the polymorph energy (0 for the lowest one): 0 meV/atom.

***

# 6
This record from Alexandria describes an optimized crystal structure of NaIN2Cl. The functional is GGA-PBE.

Unit cell a=4.6642 b=4.6642 c=6.4736 alpha=90.00 beta=90.00 gamma=90.00
Positions (direct):
1 Na 0.0000 0.0000 0.0000
2 Cl 0.5000 0.5000 0.5000
3 N 0.5000 0.0000 0.0000
4 N 0.0000 0.5000 0.0000
5 I 0.0000 0.0000 0.5000

Its uncorrected formation energy is 1.722 eV per atom. As for the polymorph energy (0 for the lowest one): 233 meV/atom.

***

# 7
This record from Alexandria describes an optimized crystal structure of MgH3Pt3. The functional is GGA-PBE.

Unit cell a=5.1499 b=5.1499 c=7.4578 alpha=69.80 beta=69.80 gamma=60.00
Positions (direct):
1 Pt 0.4494 0.1058 0.6805
2 Pt 0.5506 0.8942 0.3195
3 Pt 0.2357 0.5506 0.3195
4 Pt 0.7643 0.4494 0.6805
5 Pt 0.8942 0.2357 0.3195
6 Pt 0.1058 0.7643 0.6805
7 H 0.0727 0.3620 0.7821
8 H 0.2167 0.9273 0.2179
9 H 0.7833 0.0727 0.7821
10 H 0.3620 0.7833 0.7821
11 H 0.9273 0.6380 0.2179
12 H 0.6380 0.2167 0.2179
13 Mg 0.6665 0.6665 0.0005
14 Mg 0.3335 0.3335 0.9995

Its total energy is -0.1618 Ha/atom.

***

# 8
This record from Alexandria describes an optimized crystal structure of Ba2CaSmTe4. The functional is GGA-PBE.

Unit cell a=4.6845 b=8.1359 c=8.2755 alpha=109.08 beta=90.00 gamma=90.00
Positions (direct):
1 Sm 0.5000 0.5000 0.0000
2 Te 0.0000 0.2616 0.7792
3 Te 0.5000 0.2425 0.2206
4 Te 0.0000 0.7384 0.2208
5 Te 0.5000 0.7575 0.7794
6 Ba 0.5000 0.0000 0.5000
7 Ba 0.0000 0.5000 0.5000
8 Ca 0.0000 0.0000 0.0000

Its uncorrected formation energy is -1.627 eV per atom.

***

# 9
This record from Alexandria describes an optimized crystal structure of MnHPb2. The functional is GGA-PBE.

Unit cell a=5.1251 b=5.1251 c=8.2202 alpha=71.84 beta=71.84 gamma=90.00
Positions (direct):
1 Mn 0.7500 0.2500 0.5000
2 Mn 0.0000 0.0000 0.0000
3 Pb 0.1966 0.6250 0.2500
4 Pb 0.8750 0.8034 0.7500
5 Pb 0.5534 0.1250 0.2500
6 Pb 0.3750 0.4466 0.7500
7 H 0.5000 0.5000 0.0000
8 H 0.2500 0.7500 0.5000

As for the polymorph energy (0 for the lowest one): 0 meV/atom.

***

# 10
This record from Alexandria describes an optimized crystal structure of Sr2MgCu. The functional is GGA-PBE.

Unit cell a=6.6026 b=6.6026 c=6.6026 alpha=137.49 beta=137.49 gamma=61.69
Positions (direct):
1 Sr 0.2500 0.7500 0.5000
2 Sr 0.0000 0.0000 0.0000
3 Mg 0.7500 0.2500 0.5000
4 Cu 0.5000 0.5000 0.0000

The energy relative to the elements comes out at 69 kJ/mol of formula units.

***

# 11
This record from Alexandria describes an optimized crystal structure of TlSn2SbAs. The functional is GGA-PBE.

Unit cell a=4.3841 b=7.2446 c=12.3572 alpha=127.03 beta=90.00 gamma=90.00
Positions (direct):
1 As 0.2500 0.4070 0.1301
2 As 0.7500 0.5930 0.8699
3 Sn 0.2500 0.2818 0.7606
4 Sn 0.7500 0.5105 0.6215
5 Sn 0.2500 0.4895 0.3785
6 Sn 0.7500 0.7182 0.2394
7 Tl 0.2500 0.8965 0.0985
8 Tl 0.7500 0.1035 0.9015
9 Sb 0.7500 0.8234 0.5257
10 Sb 0.2500 0.1766 0.4743

Its uncorrected formation energy is 0.007 eV per atom.